CsI2NO | GGA-PBE | relaxed

Lattice parameters (Å, degrees): 4.818 4.818 6.622 90.00 90.00 90.00
Space group P4/mmm (No. 123)
Symmetry-distinct sites (fractional):
Cs  0.000  0.000  0.000
I  0.000  0.500  0.500
N  0.500  0.500  0.000
O  0.500  0.500  0.500

Output
polymorph energy (0 for the lowest one): 0.044 eV/f.u.
M_tot: 2.6 μB per formula unit